[1]
Computed, not measured: a geometry-optimized TeIr2Os structure at the GGA-PBE level of DFT.

Properties
DFT total energy: -7.55 eV/atom
spin magnetization: 0.00 μB per atom
ΔE_f (raw): 469 meV per atom

Geometry as CIF:
```
data_TeIr2Os
_chemical_formula_sum 'Te1 Ir2 Os1'
_cell_length_a 2.861
_cell_length_b 2.861
_cell_length_c 8.237
_cell_angle_alpha 90.00
_cell_angle_beta 90.00
_cell_angle_gamma 90.00
_space_group_name_H-M_alt 'P 4/m m m'
_space_group_IT_number 123
_space_group_name_Hall '-P 4 2'
loop_
_atom_site_label
_atom_site_fract_x
_atom_site_fract_y
_atom_site_fract_z
_atom_site_occupancy
Te1 0.000 0.000 0.000 1
Ir1 0.500 0.500 0.283 1
Os1 0.000 0.000 0.500 1
```

[2]
Computed, not measured: a geometry-optimized TeIr2Os structure at the GGA-PBE level of DFT.

Properties
DFT total energy: -7.38 eV/atom
spin magnetization: 0.00 μB per atom
ΔE_f (raw): 644 meV per atom

Geometry as CIF:
```
data_TeIr2Os
_chemical_formula_sum 'Te2 Ir4 Os2'
_cell_length_a 4.037
_cell_length_b 4.037
_cell_length_c 7.958
_cell_angle_alpha 90.00
_cell_angle_beta 90.00
_cell_angle_gamma 90.00
_space_group_name_H-M_alt 'I 4/m m m'
_space_group_IT_number 139
_space_group_name_Hall '-I 4 2'
loop_
_atom_site_label
_atom_site_fract_x
_atom_site_fract_y
_atom_site_fract_z
_atom_site_occupancy
Te1 0.000 0.000 0.000 1
Ir1 0.000 0.500 0.250 1
Os1 0.000 0.000 0.500 1
```

[3]
Computed, not measured: a geometry-optimized TeIrOs2 structure at the GGA-PBE level of DFT.

Properties
DFT total energy: -7.83 eV/atom
spin magnetization: 0.00 μB per atom
ΔE_f (raw): 790 meV per atom

Geometry as CIF:
```
data_TeIrOs2
_chemical_formula_sum 'Te1 Ir1 Os2'
_cell_length_a 2.940
_cell_length_b 2.940
_cell_length_c 7.561
_cell_angle_alpha 90.00
_cell_angle_beta 90.00
_cell_angle_gamma 90.00
_space_group_name_H-M_alt 'P 4/m m m'
_space_group_IT_number 123
_space_group_name_Hall '-P 4 2'
loop_
_atom_site_label
_atom_site_fract_x
_atom_site_fract_y
_atom_site_fract_z
_atom_site_occupancy
Te1 0.000 0.000 0.000 1
Ir1 0.000 0.000 0.500 1
Os1 0.500 0.500 0.266 1
```

[4]
Computed, not measured: a geometry-optimized Te2IrOs structure at the GGA-PBE level of DFT.

Properties
energy above the lowest structure with this stoichiometry: 0.265 eV/atom
DFT total energy: -6.19 eV/atom
spin magnetization: 0.00 μB per atom
ΔE_f (raw): 408 meV per atom

Geometry as CIF:
```
data_Te2IrOs
_chemical_formula_sum 'Te2 Ir1 Os1'
_cell_length_a 3.225
_cell_length_b 3.899
_cell_length_c 7.072
_cell_angle_alpha 90.00
_cell_angle_beta 90.00
_cell_angle_gamma 90.00
_space_group_name_H-M_alt 'P m m 2'
_space_group_IT_number 25
loop_
_space_group_symop_operation_xyz
'x,y,z'
'-x,-y,z'
'-x,y,z'
'x,-y,z'
loop_
_atom_site_label
_atom_site_fract_x
_atom_site_fract_y
_atom_site_fract_z
_atom_site_occupancy
Te1 0.000 0.000 0.000 1
Te2 0.500 0.500 0.471 1
Ir1 0.000 0.000 0.625 1
Os1 0.500 0.500 0.843 1
```

[5]
Computed, not measured: a geometry-optimized TeIr2Os structure at the GGA-PBE level of DFT.

Properties
DFT total energy: -7.22 eV/atom
spin magnetization: 0.21 μB per atom
ΔE_f (raw): 804 meV per atom

Geometry as CIF:
```
data_TeIr2Os
_chemical_formula_sum 'Te2 Ir4 Os2'
_cell_length_a 2.818
_cell_length_b 5.002
_cell_length_c 9.683
_cell_angle_alpha 90.00
_cell_angle_beta 90.00
_cell_angle_gamma 90.00
_space_group_name_H-M_alt 'C m m m'
_space_group_IT_number 65
_space_group_name_Hall '-C 2 2'
loop_
_atom_site_label
_atom_site_fract_x
_atom_site_fract_y
_atom_site_fract_z
_atom_site_occupancy
Te1 0.000 0.000 0.000 1
Ir1 0.000 0.500 0.268 1
Os1 0.000 0.000 0.500 1
```

[6]
Computed, not measured: a geometry-optimized TeIr2Os structure at the GGA-PBE level of DFT.

Properties
DFT total energy: -7.40 eV/atom
spin magnetization: 0.00 μB per atom
ΔE_f (raw): 620 meV per atom

Geometry as CIF:
```
data_TeIr2Os
_chemical_formula_sum 'Te1 Ir2 Os1'
_cell_length_a 2.921
_cell_length_b 2.921
_cell_length_c 7.797
_cell_angle_alpha 90.00
_cell_angle_beta 90.00
_cell_angle_gamma 90.00
_space_group_name_H-M_alt 'P 4 m m'
_space_group_IT_number 99
loop_
_space_group_symop_operation_xyz
'x,y,z'
'-y,x,z'
'-x,-y,z'
'y,-x,z'
'-x,y,z'
'y,x,z'
'x,-y,z'
'-y,-x,z'
loop_
_atom_site_label
_atom_site_fract_x
_atom_site_fract_y
_atom_site_fract_z
_atom_site_occupancy
Te1 0.000 0.000 0.000 1
Ir1 0.000 0.000 0.506 1
Ir2 0.500 0.500 0.264 1
Os1 0.500 0.500 0.722 1
```